This record from Alexandria via LeMat-Bulk describes a relaxed Na5AgHg2 crystal. The functional is PBE.

The structure in CIF format:
```
data_Na5AgHg2
_space_group_name_H-M_alt 'P 63/m m c'
_space_group_IT_number 194
_space_group_name_Hall '-P 6c 2c'
_cell_length_a 5.2275
_cell_length_b 5.2275
_cell_length_c 19.9342
_cell_angle_alpha 90.00
_cell_angle_beta 90.00
_cell_angle_gamma 120.00
loop_
_atom_site_label
_atom_site_type_symbol
_atom_site_fract_x
_atom_site_fract_y
_atom_site_fract_z
_atom_site_occupancy
Na1 Na 0.0000 0.0000 0.1589 1
Na2 Na 0.3333 0.6667 0.0490 1
Na3 Na 0.3333 0.6667 0.2500 1
Ag1 Ag 0.3333 0.6667 0.7500 1
Hg1 Hg 0.3333 0.6667 0.6089 1
```

The energy of formation from the pure elements is -0.14 eV per atom.